AgPt3Au6: relaxed, PBE.

V (A^3/atom): 17.5
DOS(E_F) (states/eV/f.u.): 4.649
Calculated formation energy (eV/f.u.): 0.57
Symmetry: P2_1/m, No. 11
Magnetization (μB per cell): 0.00

a = 10.8475 Å, b = 2.8314 Å, c = 12.0194 Å
α = 90.00°, β = 108.20°, γ = 90.00°
Positions (direct):
Ag 0.0687 0.2500 0.1835
Ag 0.9313 0.7500 0.8165
Pt 0.0057 0.2500 0.3966
Pt 0.3908 0.2500 0.9959
Pt 0.4749 0.2500 0.5880
Pt 0.5251 0.7500 0.4120
Pt 0.6092 0.7500 0.0041
Pt 0.9943 0.7500 0.6034
Au 0.1600 0.2500 0.8054
Au 0.1670 0.7500 0.0193
Au 0.2222 0.2500 0.5948
Au 0.2500 0.7500 0.3942
Au 0.3412 0.2500 0.2209
Au 0.4048 0.7500 0.7862
Au 0.5952 0.2500 0.2138
Au 0.6588 0.7500 0.7791
Au 0.7500 0.2500 0.6058
Au 0.7778 0.7500 0.4052
Au 0.8330 0.2500 0.9807
Au 0.8400 0.7500 0.1946

Ba2Sb4PbAu3: relaxed, PBE.

V (A^3/atom): 29.8
DOS(E_F) (states/eV/f.u.): 3.503
Formation energy from raw total energies (meV/atom): -512
Symmetry: P-4m2, No. 115
Magnetization (μB per cell): 0.00

a = 5.0172 Å, b = 5.0172 Å, c = 11.8223 Å
α = 90.00°, β = 90.00°, γ = 90.00°
Positions (direct):
Ba 0.0000 0.5000 0.2388
Ba 0.5000 0.0000 0.7612
Sb 0.0000 0.0000 0.0000
Sb 0.0000 0.5000 0.6496
Sb 0.5000 0.0000 0.3504
Sb 0.5000 0.5000 0.0000
Pb 0.0000 0.0000 0.5000
Au 0.0000 0.5000 0.8823
Au 0.5000 0.0000 0.1177
Au 0.5000 0.5000 0.5000

Sr2HgHRh: relaxed, PBE.

V (A^3/atom): 22.4
DOS(E_F) (states/eV/f.u.): 2.821
Energy above the lowest structure with this stoichiometry (kJ/mol of atoms): 3.0
Symmetry: P4/mmm, No. 123
Magnetization (μB per cell): 0.00

a = 5.5147 Å, b = 5.5147 Å, c = 3.6843 Å
α = 90.00°, β = 90.00°, γ = 90.00°
Positions (direct):
Sr 0.0000 0.5000 0.0000
Sr 0.5000 0.0000 0.0000
Hg 0.0000 0.0000 0.5000
H 0.5000 0.5000 0.0000
Rh 0.5000 0.5000 0.5000

Ca4SiSb: relaxed, PBE.

V (A^3/atom): 30.2
DOS(E_F) (states/eV/f.u.): 7.172
Formation energy from raw total energies (meV/atom): 271
Symmetry: F-43m, No. 216
Magnetization (μB per cell): 0.00

a = 6.3547 Å, b = 6.3547 Å, c = 6.3547 Å
α = 60.00°, β = 60.00°, γ = 60.00°
Positions (direct):
Ca 0.1250 0.1250 0.1250
Ca 0.1250 0.1250 0.6250
Ca 0.1250 0.6250 0.1250
Ca 0.6250 0.1250 0.1250
Si 0.5000 0.5000 0.5000
Sb 0.7500 0.7500 0.7500

Sm3Dy2Cd: relaxed, PBE.

V (A^3/atom): 31.0
DOS(E_F) (states/eV/f.u.): 7.745
Energy above the lowest structure with this stoichiometry (kJ/mol of atoms): 0.0
Calculated formation energy (eV/f.u.): -0.53
Symmetry: P4/mmm, No. 123
Magnetization (μB per cell): 0.00

a = 3.6139 Å, b = 3.6139 Å, c = 14.2580 Å
α = 90.00°, β = 90.00°, γ = 90.00°
Positions (direct):
Sm 0.0000 0.0000 0.0000
Sm 0.0000 0.0000 0.3516
Sm 0.0000 0.0000 0.6484
Dy 0.5000 0.5000 0.1758
Dy 0.5000 0.5000 0.8242
Cd 0.5000 0.5000 0.5000

PaCu2Pb3O9: relaxed, PBE.

V (A^3/atom): 13.6
DOS(E_F) (states/eV/f.u.): 5.926
Formation energy from raw total energies (meV/atom): -1344
Symmetry: P-3m1, No. 164
Magnetization (μB per cell): 0.00

a = 5.7118 Å, b = 5.7118 Å, c = 7.2024 Å
α = 90.00°, β = 90.00°, γ = 120.00°
Positions (direct):
Pa 0.0000 0.0000 0.0000
Cu 0.3333 0.6667 0.6666
Cu 0.6667 0.3333 0.3334
Pb 0.0000 0.0000 0.5000
Pb 0.3333 0.6667 0.2380
Pb 0.6667 0.3333 0.7620
O 0.0000 0.5000 0.5000
O 0.1693 0.3386 0.8169
O 0.1693 0.8307 0.8169
O 0.3386 0.1693 0.1831
O 0.5000 0.0000 0.5000
O 0.5000 0.5000 0.5000
O 0.6614 0.8307 0.8169
O 0.8307 0.1693 0.1831
O 0.8307 0.6614 0.1831